Run A
This record from the Alexandria database describes a relaxed structure of TiAuIO2. The functional is PBE-GGA.

The structure in POSCAR format:
```
TiAuIO2
1.0
3.878 0.000 0.000
0.000 3.878 0.000
0.000 0.000 6.167
Ti Au I O
1 1 1 2
Cartesian
0.000 0.000 0.000
1.939 1.939 3.083
0.000 0.000 3.083
0.000 1.939 0.000
1.939 0.000 0.000
```

Density of states at the Fermi level ... 1.0 states/eV/cell
Theoretical density ... 7.229 Mg/m³


Run B
This record from the Alexandria database describes a relaxed structure of TiAuIO2. The functional is PBE-GGA.

The structure in POSCAR format:
```
TiAuIO2
1.0
4.127 0.000 0.000
0.000 4.127 0.000
0.000 0.000 5.585
Ti Au I O
1 1 1 2
Cartesian
0.000 0.000 0.000
2.064 2.064 2.792
2.064 2.064 0.000
0.000 2.064 2.792
2.064 0.000 2.792
```

Density of states at the Fermi level ... 6.7 states/eV/cell
Theoretical density ... 7.047 Mg/m³


Least stable = run B


Run A
This record from the Alexandria database describes a relaxed structure of TlAuI2O. The functional is PBE-GGA.

The structure in POSCAR format:
```
TlAuI2O
1.0
5.970 0.000 0.000
0.000 5.970 0.000
0.000 0.000 4.057
Tl Au I O
1 1 2 1
Cartesian
0.000 0.000 0.000
2.985 2.985 2.029
0.000 2.985 2.029
2.985 0.000 2.029
2.985 2.985 0.000
```

Density of states at the Fermi level ... 5.8 states/eV/cell
Theoretical density ... 7.707 Mg/m³


Run B
This record from the Alexandria database describes a relaxed structure of TlAuI2O. The functional is PBE-GGA.

The structure in POSCAR format:
```
TlAuI2O
1.0
6.162 0.000 0.000
0.000 6.162 0.000
0.000 0.000 4.034
Tl Au I O
1 1 2 1
Cartesian
0.000 0.000 0.000
3.081 3.081 2.017
0.000 3.081 0.000
3.081 0.000 0.000
0.000 0.000 2.017
```

Density of states at the Fermi level ... 3.5 states/eV/cell
Theoretical density ... 7.275 Mg/m³


Least stable = run B


Run A
This record from the Alexandria database describes a relaxed structure of TlAuIO2. The functional is PBE-GGA.

The structure in POSCAR format:
```
TlAuIO2
1.0
4.380 0.000 0.000
0.000 4.380 0.000
0.000 0.000 5.590
Tl Au I O
1 1 1 2
Cartesian
0.000 0.000 0.000
2.190 2.190 2.795
2.190 2.190 0.000
0.000 2.190 2.795
2.190 0.000 2.795
```

Density of states at the Fermi level ... 10.9 states/eV/cell
Theoretical density ... 8.674 Mg/m³


Run B
This record from the Alexandria database describes a relaxed structure of TlAuIO2. The functional is PBE-GGA.

The structure in POSCAR format:
```
TlAuIO2
1.0
4.077 0.000 0.000
0.000 4.077 0.000
0.000 0.000 6.927
Tl Au I O
1 1 1 2
Cartesian
0.000 0.000 0.000
2.039 2.039 0.000
0.000 0.000 3.464
0.000 2.039 3.464
2.039 0.000 3.464
```

Density of states at the Fermi level ... 1.7 states/eV/cell
Theoretical density ... 8.079 Mg/m³


Run C
This record from the Alexandria database describes a relaxed structure of TlAuIO2. The functional is PBE-GGA.

The structure in POSCAR format:
```
TlAuIO2
1.0
4.112 0.000 0.000
0.000 4.112 0.000
0.000 0.000 7.461
Tl Au I O
1 1 1 2
Cartesian
0.000 0.000 0.000
2.056 2.056 3.731
0.000 0.000 3.731
0.000 2.056 0.000
2.056 0.000 0.000
```

Density of states at the Fermi level ... 3.9 states/eV/cell
Theoretical density ... 7.375 Mg/m³


Least stable = run A